VASP calculation (PBE) on crystalline Pr2Ni3Sn4Pt at its relaxed geometry.

```
data_Pr2Ni3Sn4Pt
_chemical_formula_sum 'Pr2 Ni3 Sn4 Pt1'
_cell_length_a 4.5120
_cell_length_b 4.5120
_cell_length_c 10.2998
_cell_angle_alpha 90.00
_cell_angle_beta 90.00
_cell_angle_gamma 90.00
_symmetry_space_group_name_H-M 'P -4 m 2'
_symmetry_Int_Tables_number 115
loop_
_symmetry_equiv_pos_as_xyz
'x,y,z'
'y,-x,-z'
'-x,-y,z'
'-y,x,-z'
'-x,y,z'
'-y,-x,-z'
'x,-y,z'
'y,x,-z'
loop_
_atom_site_label
_atom_site_fract_x
_atom_site_fract_y
_atom_site_fract_z
Pr1 0.0000 0.5000 0.2430
Ni1 0.0000 0.0000 0.0000
Ni2 0.0000 0.5000 0.6222
Sn1 0.0000 0.0000 0.5000
Sn2 0.0000 0.5000 0.8650
Sn3 0.5000 0.5000 0.5000
Pt1 0.5000 0.5000 0.0000
```

Values from the calculation:
Spin magnetization = 0.00 μB/cell
VASP energy = -55.11 eV for the cell shown